Compound: Zr2CoRh
Source: the Alexandria database
Functional: PBE-GGA
Structure: optimized geometry

Properties
As for the calculated total energy: -7.5326 eV/atom. As for the space group: No. 71. The calculation puts the formation enthalpy at 0 K at 356 meV per atom. As for the polymorph energy (0 for the lowest one): 886.1 meV/atom.

a b c (Å): 2.921 5.010 9.896
angles (deg): 90.00 90.00 90.00
Element x y z (fractional)
Zr 0.000 0.000 0.243
Zr 0.000 0.000 0.757
Zr 0.500 0.500 0.257
Zr 0.500 0.500 0.743
Co 0.000 0.000 0.000
Co 0.500 0.500 0.500
Rh 0.000 0.000 0.500
Rh 0.500 0.500 0.000